Entry 1:
## TbPm2Zn2 (PBE)

Data for a geometry-optimized TbPm2Zn2 structure.

a b c (Å): 4.4120 4.5674 13.4457
angles (deg): 99.97 90.00 90.00
Closest atoms and distances in Å follow each position.
Element x y z (fractional)
Tb  0.2500  0.6363  0.2708  3 Zn 2.93-3.27
Tb  0.7500  0.3637  0.7292  3 Zn 2.93-3.27
Pm  0.2500  0.9429  0.8893  7 Zn 2.95-3.28
Pm  0.7500  0.0571  0.1107  7 Zn 2.95-3.28
Pm  0.2500  0.2642  0.5277  2 Zn 2.93, 4 Pm 3.26
Pm  0.7500  0.7358  0.4723  2 Zn 2.93, 4 Pm 3.26
Zn  0.2500  0.8342  0.6664  3 Pm 2.93-2.95, 2 Tb 3.27
Zn  0.7500  0.1658  0.3336  3 Pm 2.93-2.95, 2 Tb 3.27
Zn  0.2500  0.5242  0.0498  2 Zn 2.57
Zn  0.7500  0.4758  0.9502  2 Zn 2.57

Properties
For the density of states at the Fermi level, the calculation gives 12.7 states/eV per cell. For the formation energy, the calculation gives -0.149 eV per atom. Its total magnetization is 0.001 μB/f.u. The uncorrected energy is -3.4849 eV per atom.

Entry 2:
## Tb5PmZn4 (PBE)

Data for a geometry-optimized Tb5PmZn4 structure.

a b c (Å): 3.5850 3.5850 19.4798
angles (deg): 90.00 90.00 90.00
Closest atoms and distances in Å follow each position.
Element x y z (fractional)
Tb  0.5000  0.5000  0.1336  4 Zn 3.09
Tb  0.5000  0.5000  0.3172  8 Zn 3.08-3.11
Tb  0.5000  0.5000  0.5000  8 Zn 3.11
Tb  0.5000  0.5000  0.6828  8 Zn 3.08-3.11
Tb  0.5000  0.5000  0.8664  4 Zn 3.09
Pm  0.0000  0.0000  0.0000  4 Pm 3.58, 8 Tb 3.63
Zn  0.0000  0.0000  0.2247  8 Tb 3.09-3.11
Zn  0.0000  0.0000  0.4073  8 Tb 3.08-3.11
Zn  0.0000  0.0000  0.5927  8 Tb 3.08-3.11
Zn  0.0000  0.0000  0.7753  8 Tb 3.09-3.11

Properties
For the density of states at the Fermi level, the calculation gives 11.7 states/eV per cell. For the formation energy, the calculation gives -0.268 eV per atom. Its total magnetization is 0.000 μB/f.u. The uncorrected energy is -3.5682 eV per atom.